Compound: Ag2HgF3
Source: Alexandria via LeMat-Bulk
Functional: PBE
Structure: relaxed

Lattice parameters (Å, degrees): 6.403 6.403 5.922 100.92 100.92 57.14
Fractional coordinates of all 12 atoms:
Ag: 0.148 0.563 0.804
Ag: 0.563 0.148 0.304
Ag: 0.437 0.852 0.696
Ag: 0.852 0.437 0.196
Hg: 0.927 0.073 0.750
Hg: 0.073 0.927 0.250
F: 0.445 0.555 0.250
F: 0.555 0.445 0.750
F: 0.775 0.773 0.002
F: 0.227 0.225 0.498
F: 0.773 0.775 0.502
F: 0.225 0.227 0.998

Compound: Ag3HgF12
Source: Alexandria via LeMat-Bulk
Functional: PBE
Structure: relaxed

Lattice parameters (Å, degrees): 11.119 11.119 8.364 48.34 48.34 60.00
Fractional coordinates of all 32 atoms:
Ag: 0.690 0.332 0.004
Ag: 0.190 0.474 0.504
Ag: 0.832 0.190 0.504
Ag: 0.332 0.974 0.004
Ag: 0.974 0.690 0.004
Ag: 0.474 0.832 0.504
Hg: 0.082 0.082 0.755
Hg: 0.582 0.582 0.255
F: 0.195 0.174 0.982
F: 0.245 0.272 0.510
F: 0.969 0.990 0.525
F: 0.892 0.192 0.998
F: 0.392 0.418 0.498
F: 0.469 0.016 0.025
F: 0.745 0.473 0.010
F: 0.990 0.516 0.525
F: 0.695 0.149 0.482
F: 0.973 0.245 0.510
F: 0.692 0.392 0.498
F: 0.149 0.674 0.482
F: 0.016 0.490 0.025
F: 0.649 0.195 0.982
F: 0.192 0.918 0.998
F: 0.473 0.772 0.010
F: 0.772 0.745 0.010
F: 0.490 0.469 0.025
F: 0.674 0.695 0.482
F: 0.918 0.892 0.998
F: 0.418 0.692 0.498
F: 0.174 0.649 0.982
F: 0.272 0.973 0.510
F: 0.516 0.969 0.525

Compound: AgHgF2
Source: Alexandria via LeMat-Bulk
Functional: PBE
Structure: relaxed

Lattice parameters (Å, degrees): 4.403 4.403 4.403 60.00 60.00 60.00
Fractional coordinates of all 4 atoms:
Hg: 0.500 0.500 0.500
Ag: 0.000 0.000 0.000
F: 0.250 0.250 0.250
F: 0.750 0.750 0.750

Compound: AgHg3F6
Source: Alexandria via LeMat-Bulk
Functional: PBE
Structure: relaxed

Lattice parameters (Å, degrees): 3.724 9.176 9.400 101.58 90.00 90.00
Fractional coordinates of all 20 atoms:
Ag: 0.750 0.047 0.696
Ag: 0.250 0.953 0.304
Hg: 0.750 0.376 0.826
Hg: 0.250 0.624 0.174
Hg: 0.750 0.696 0.543
Hg: 0.250 0.304 0.457
Hg: 0.750 0.187 0.039
Hg: 0.250 0.813 0.961
F: 0.750 0.453 0.596
F: 0.250 0.547 0.404
F: 0.750 0.952 0.107
F: 0.250 0.048 0.893
F: 0.750 0.461 0.110
F: 0.250 0.539 0.890
F: 0.750 0.763 0.316
F: 0.250 0.237 0.684
F: 0.750 0.127 0.435
F: 0.250 0.873 0.565
F: 0.750 0.776 0.792
F: 0.250 0.224 0.208

Compound: AgHgF4
Source: Alexandria via LeMat-Bulk
Functional: PBE
Structure: relaxed

Lattice parameters (Å, degrees): 5.449 5.863 5.948 91.14 90.00 90.00
Fractional coordinates of all 12 atoms:
Ag: 0.000 0.500 0.500
Ag: 0.500 0.000 0.500
Hg: 0.500 0.500 0.000
Hg: 0.000 0.000 0.000
F: 0.187 0.641 0.147
F: 0.313 0.141 0.147
F: 0.710 0.717 0.372
F: 0.210 0.783 0.628
F: 0.790 0.217 0.372
F: 0.290 0.283 0.628
F: 0.687 0.859 0.853
F: 0.813 0.359 0.853

Compound: AgHgF
Source: Alexandria via LeMat-Bulk
Functional: PBE
Structure: relaxed

Lattice parameters (Å, degrees): 4.550 6.501 5.841 125.43 88.93 111.16
Fractional coordinates of all 6 atoms:
Ag: 0.326 0.939 0.716
Ag: 0.080 0.454 0.689
Hg: 0.064 0.395 0.174
Hg: 0.341 0.998 0.231
F: 0.863 0.013 0.617
F: 0.543 0.380 0.788

Compound: Ag4HgF4
Source: Alexandria via LeMat-Bulk
Functional: PBE
Structure: relaxed

Lattice parameters (Å, degrees): 6.234 6.234 6.244 119.95 119.95 90.00
Fractional coordinates of all 9 atoms:
Ag: 0.500 0.000 0.000
Ag: 0.000 0.500 0.000
Ag: 0.333 0.333 0.667
Ag: 0.667 0.667 0.333
Hg: 0.000 0.000 0.000
F: 0.594 0.594 0.703
F: 0.406 0.892 0.297
F: 0.108 0.108 0.703
F: 0.892 0.406 0.297

Compound: Ag4HgF6
Source: Alexandria via LeMat-Bulk
Functional: PBE
Structure: relaxed

Lattice parameters (Å, degrees): 7.028 7.028 7.028 89.88 89.88 90.12
Fractional coordinates of all 22 atoms:
Ag: 0.380 0.120 0.250
Ag: 0.880 0.250 0.380
Ag: 0.250 0.620 0.120
Ag: 0.250 0.250 0.750
Ag: 0.750 0.750 0.250
Ag: 0.750 0.380 0.880
Ag: 0.120 0.750 0.620
Ag: 0.620 0.880 0.750
Hg: 0.500 0.500 0.500
Hg: 0.000 0.000 0.000
F: 0.684 0.061 0.091
F: 0.091 0.316 0.061
F: 0.591 0.439 0.184
F: 0.939 0.091 0.684
F: 0.561 0.184 0.591
F: 0.184 0.409 0.439
F: 0.816 0.591 0.561
F: 0.439 0.816 0.409
F: 0.061 0.909 0.316
F: 0.409 0.561 0.816
F: 0.909 0.684 0.939
F: 0.316 0.939 0.909

Compound: Ag2HgF6
Source: Alexandria via LeMat-Bulk
Functional: PBE
Structure: relaxed

Lattice parameters (Å, degrees): 4.182 5.783 9.593 134.83 102.34 90.50
Fractional coordinates of all 9 atoms:
Ag: 0.296 0.333 0.585
Ag: 0.704 0.667 0.415
Hg: 0.000 0.500 0.000
F: 0.138 0.045 0.269
F: 0.205 0.690 0.416
F: 0.795 0.310 0.584
F: 0.448 0.577 0.891
F: 0.552 0.423 0.109
F: 0.862 0.955 0.731

Compound: AgHg2F
Source: Alexandria via LeMat-Bulk
Functional: PBE
Structure: relaxed

Lattice parameters (Å, degrees): 4.811 4.811 4.811 60.00 60.00 60.00
Fractional coordinates of all 4 atoms:
Hg: 0.250 0.250 0.250
Hg: 0.750 0.750 0.750
Ag: 0.500 0.500 0.500
F: 0.000 0.000 0.000

Compound: AgHg3F8
Source: Alexandria via LeMat-Bulk
Functional: PBE
Structure: relaxed

Lattice parameters (Å, degrees): 4.617 7.431 7.769 106.98 107.29 90.00
Fractional coordinates of all 12 atoms:
Ag: 0.307 0.693 0.615
Hg: 0.393 0.282 0.785
Hg: 0.694 0.293 0.389
Hg: 0.612 0.714 0.223
F: 0.434 0.608 0.868
F: 0.384 0.986 0.768
F: 0.846 0.261 0.692
F: 0.243 0.371 0.486
F: 0.752 0.619 0.503
F: 0.172 0.750 0.344
F: 0.560 0.395 0.119
F: 0.602 0.998 0.205

Quick rundown of DFT total energy, same order as above: -2.933 -2.946 -2.645 -2.737 -3.038 -2.359 -2.923 -3.109 -3.117 -1.698 -2.861 eV per atom